A geometry-optimized TlPdBr3 structure, computed with PBE-GGA.

Unit cell a=5.629 b=5.629 c=5.629 alpha=90.00 beta=90.00 gamma=90.00
Sites, in units of the cell vectors:
1 Tl 0.000 0.000 0.000
2 Pd 0.500 0.500 0.500
3 Br 0.000 0.000 0.500
4 Br 0.000 0.500 0.000
5 Br 0.500 0.000 0.000

Calculated values
As for the final energy: -2.30 eV per atom. Its polymorph energy (0 for the lowest one) is 736 meV per atom. The value obtained for the total moment is 0.539 μB/cell. The raw formation energy comes out at 211 meV per atom.